Here is TePCl2 at its PBEsol-relaxed geometry from Alexandria via LeMat-Bulk. Energies are from meta-GGA SCAN.

Unit cell a=3.7913 b=4.6721 c=7.2947 alpha=87.31 beta=90.00 gamma=113.94
Closest atoms and distances in Å follow each position.
Fractional coordinates of all 4 atoms:
Cl: 0.0425 0.0849 0.0805  3 Te 2.89-3.10
Cl: 0.3573 0.7146 0.7045  1 P 2.03
Te: 0.7168 0.4336 0.2884  2 P 2.60, 2 Cl 2.89
P: 0.3834 0.7669 0.4266  1 Cl 2.03

Summary:
- Formation energy (no corrections): -0.206 eV/atom
- Space group: Cm
- DOS(E_F): 1.3 states/eV/f.u.
- Calculated density: 3.231 g/cm³
- Relative energy among the computed polymorphs: 0.05 eV per formula unit